Record 1
Entry from the Alexandria database: a crystal of Na4Ga2S5 relaxed with PBEsol (meta-GGA SCAN).

Cell lengths 7.959, 6.046, 19.805 Å; angles 90.00, 91.20, 90.00 degrees
Space group P2_1/c (No. 14)
Asymmetric unit:
Na 0.075 0.243 0.043 [4 per cell]
Na 0.111 0.504 0.201 [4 per cell]
Na 0.345 0.523 0.784 [4 per cell]
Na 0.403 0.539 0.603 [4 per cell]
Ga 0.167 0.065 0.865 [4 per cell]
Ga 0.347 0.585 0.963 [4 per cell]
S 0.092 0.023 0.173 [4 per cell]
S 0.134 0.070 0.402 [4 per cell]
S 0.260 0.560 0.470 [4 per cell]
S 0.369 0.014 0.792 [4 per cell]
S 0.388 0.024 0.575 [4 per cell]

**Crystal system**: monoclinic
**Formation energy without anion corrections**: -1182 meV/atom

Record 2
Entry from the Alexandria database: a crystal of Na2TlGaS relaxed with PBEsol (meta-GGA SCAN).

Cell lengths 5.584, 5.584, 5.378 Å; angles 90.00, 90.00, 90.00 degrees
Space group P4/mmm (No. 123)
Asymmetric unit:
Na 0.000 0.500 0.000 [2 per cell]
Tl 0.000 0.000 0.000 [1 per cell]
Ga 0.500 0.500 0.500 [1 per cell]
S 0.000 0.000 0.500 [1 per cell]

**Crystal system**: tetragonal
**Formation energy without anion corrections**: 332 meV/atom

Record 3
Entry from the Alexandria database: a crystal of NaGa3Sb relaxed with PBEsol (meta-GGA SCAN).

Cell lengths 5.044, 5.044, 5.044 Å; angles 90.00, 90.00, 90.00 degrees
Space group Pm-3m (No. 221)
Asymmetric unit:
Na 0.000 0.000 0.000 [1 per cell]
Ga 0.000 0.000 0.500 [3 per cell]
Sb 0.500 0.500 0.500 [1 per cell]

**Crystal system**: cubic
**Formation energy without anion corrections**: 730 meV/atom

Record 4
Entry from the Alexandria database: a crystal of NaGaSbTe2 relaxed with PBEsol (meta-GGA SCAN).

Cell lengths 5.495, 5.495, 5.266 Å; angles 90.00, 90.00, 90.00 degrees
Space group P4/mmm (No. 123)
Asymmetric unit:
Na 0.000 0.000 0.000 [1 per cell]
Ga 0.500 0.500 0.500 [1 per cell]
Sb 0.000 0.000 0.500 [1 per cell]
Te 0.000 0.500 0.000 [2 per cell]

**Crystal system**: tetragonal
**Formation energy without anion corrections**: 622 meV/atom

Record 5
Entry from the Alexandria database: a crystal of NaSc2Ga relaxed with PBEsol (meta-GGA SCAN).

Cell lengths 3.1200, 3.1200, 34.8413 Å; angles 90.00, 90.00, 120.00 degrees
Space group R-3m (No. 166, hexagonal axes)
Asymmetric unit:
Na 0.0000 0.0000 0.0000 [3 per cell]
Sc 0.0000 0.0000 0.4201 [6 per cell]
Ga 0.0000 0.0000 0.5000 [3 per cell]

**Crystal system**: trigonal
**ΔH_f (0 K)**: 0.3673 eV per atom

Record 6
Entry from the Alexandria database: a crystal of NaGa2Se2 relaxed with PBEsol (meta-GGA SCAN).

Cell lengths 3.915, 3.915, 14.081 Å; angles 90.00, 90.00, 90.00 degrees
Space group I4/mmm (No. 139)
Asymmetric unit:
Na 0.000 0.000 0.000 [2 per cell]
Ga 0.000 0.500 0.250 [4 per cell]
Se 0.000 0.000 0.408 [4 per cell]

**Crystal system**: tetragonal
**Formation energy without anion corrections**: -342 meV/atom

Record 7
Entry from the Alexandria database: a crystal of Na2ZnGaSi relaxed with PBEsol (meta-GGA SCAN).

Cell lengths 5.339, 5.339, 4.520 Å; angles 90.00, 90.00, 90.00 degrees
Space group P4/mmm (No. 123)
Asymmetric unit:
Na 0.000 0.500 0.000 [2 per cell]
Zn 0.000 0.000 0.500 [1 per cell]
Ga 0.000 0.000 0.000 [1 per cell]
Si 0.500 0.500 0.500 [1 per cell]

**Crystal system**: tetragonal
**Formation energy without anion corrections**: 615 meV/atom

Record 8
Entry from the Alexandria database: a crystal of NaGaSn relaxed with PBEsol (meta-GGA SCAN).

Cell lengths 4.6159, 4.6159, 7.4056 Å; angles 90.00, 90.00, 120.00 degrees
Space group P6_3mc (No. 186)
Asymmetric unit:
Na 0.0000 0.0000 0.0000 [2 per cell]
Ga 0.3333 0.6667 0.1785 [2 per cell]
Sn 0.3333 0.6667 0.7874 [2 per cell]

**Crystal system**: hexagonal
**ΔH_f (0 K)**: -0.2484 eV per atom

Record 9
Entry from the Alexandria database: a crystal of NaTaGaSn2 relaxed with PBEsol (meta-GGA SCAN).

Cell lengths 5.072, 5.072, 5.078 Å; angles 90.00, 90.00, 90.00 degrees
Space group P4/mmm (No. 123)
Asymmetric unit:
Na 0.000 0.000 0.000 [1 per cell]
Ta 0.000 0.000 0.500 [1 per cell]
Ga 0.500 0.500 0.500 [1 per cell]
Sn 0.000 0.500 0.000 [2 per cell]

**Crystal system**: tetragonal
**ΔH_f (0 K)**: 1.6231 eV per atom

Record 10
Entry from the Alexandria database: a crystal of NaSr2Ga2 relaxed with PBEsol (meta-GGA SCAN).

Cell lengths 8.625, 8.625, 4.117 Å; angles 90.00, 90.00, 90.00 degrees
Space group P4/mbm (No. 127)
Asymmetric unit:
Na 0.000 0.000 0.000 [2 per cell]
Sr 0.182 0.318 0.500 [4 per cell]
Ga 0.107 0.607 0.000 [4 per cell]

**Crystal system**: tetragonal
**ΔH_f (0 K)**: -0.2958 eV per atom
**Excess energy over the best structure of this formula in the dataset**: 0 kJ/mol of formula units

Record 11
Entry from the Alexandria database: a crystal of NaSr2Ga2 relaxed with PBEsol (meta-GGA SCAN).

Cell lengths 6.093, 6.093, 8.766 Å; angles 90.00, 90.00, 90.00 degrees
Space group I4/mmm (No. 139)
Asymmetric unit:
Na 0.000 0.000 0.000 [2 per cell]
Sr 0.000 0.500 0.250 [4 per cell]
Ga 0.000 0.000 0.364 [4 per cell]

**Crystal system**: tetragonal
**ΔH_f (0 K)**: -0.1850 eV per atom
**Excess energy over the best structure of this formula in the dataset**: 53 kJ/mol of formula units

Record 12
Entry from the Alexandria database: a crystal of NaGa3Tc relaxed with PBEsol (meta-GGA SCAN).

Cell lengths 4.787, 4.787, 4.787 Å; angles 90.00, 90.00, 90.00 degrees
Space group Pm-3m (No. 221)
Asymmetric unit:
Na 0.000 0.000 0.000 [1 per cell]
Ga 0.000 0.500 0.500 [3 per cell]
Tc 0.500 0.500 0.500 [1 per cell]

**Crystal system**: cubic
**ΔH_f (0 K)**: -0.1779 eV per atom